Record 1
Material: BPS2F
Method: DFT, PBE-GGA
State: relaxed

Energy relative to the elements, uncorrected in eV per atom: 1.55
Density of states at the Fermi level in states/eV/atom: 0.955
Energy in eV/atom: -2.895
Total moment in μB per atom: 0.0000
ρ in g/cm3: 2.371

The structure in POSCAR format:
```
BPS2F
1.0
-3.8503 2.6028 -1.2776
-2.8016 -3.8868 0.5247
-0.5835 0.9075 3.6073
P S B F
1 2 1 1
direct
0.0000 0.0000 0.5000
0.0000 0.5000 0.0000
0.5000 0.0000 0.0000
0.5000 0.5000 0.5000
0.0000 0.0000 0.0000
```

Record 2
Material: BSbP2F
Method: DFT, PBE-GGA
State: relaxed

Energy relative to the elements, uncorrected in eV per atom: 0.08
Density of states at the Fermi level in states/eV/atom: 0.474
Energy in eV/atom: -4.621
Total moment in μB per atom: 0.0000
ρ in g/cm3: 5.057

The structure in POSCAR format:
```
BSbP2F
1.0
4.3087 0.0000 0.0000
0.0000 3.7769 0.0000
0.0000 0.0000 4.3087
Sb B F P
1 1 1 2
direct
0.5000 0.5000 0.5000
0.0000 0.0000 0.0000
0.0000 0.5000 0.0000
0.0000 0.0000 0.5000
0.5000 0.0000 0.0000
```

Record 3
Material: SiB2PF
Method: DFT, PBE-GGA
State: relaxed

Energy relative to the elements, uncorrected in eV per atom: 1.52
Density of states at the Fermi level in states/eV/atom: 0.126
Energy in eV/atom: -3.693
Total moment in μB per atom: 0.0000
ρ in g/cm3: 2.467

The structure in POSCAR format:
```
SiB2PF
1.0
4.0106 0.0000 0.0000
0.0000 4.1709 0.0000
0.0000 0.0000 4.0106
P Si B F
1 1 2 1
direct
0.5000 0.5000 0.5000
0.0000 0.5000 0.0000
0.0000 0.0000 0.5000
0.5000 0.0000 0.0000
0.0000 0.0000 0.0000
```

Record 4
Material: Pa2BF
Method: DFT, PBE-GGA
State: relaxed

Energy relative to the elements, uncorrected in eV per atom: -1.14
Density of states at the Fermi level in states/eV/atom: 0.915
Energy in eV/atom: -8.027
Total moment in μB per atom: 0.0000
ρ in g/cm3: 11.868

The structure in POSCAR format:
```
Pa2BF
1.0
-1.4253 3.1095 -1.4658
0.3138 0.6497 -3.6508
-5.3461 -1.4565 -2.6155
B Pa F
1 2 1
direct
0.0000 0.0000 0.0000
0.7464 0.7464 0.7609
0.2536 0.2536 0.2391
0.5000 0.5000 0.5000
```

Record 5
Material: Pa2BF
Method: DFT, PBE-GGA
State: relaxed

Energy relative to the elements, uncorrected in eV per atom: -0.71
Density of states at the Fermi level in states/eV/atom: 1.578
Energy in eV/atom: -7.590
Total moment in μB per atom: 0.4444
ρ in g/cm3: 12.378

The structure in POSCAR format:
```
Pa2BF
1.0
3.1777 0.0000 0.0000
0.0000 3.1777 0.0000
0.0000 0.0000 6.5349
B Pa F
1 2 1
direct
0.5000 0.5000 0.5000
0.0000 0.0000 0.7184
0.0000 0.0000 0.2816
0.5000 0.5000 0.0000
```

Record 6
Material: PaB2F8
Method: DFT, PBE-GGA
State: relaxed

Energy relative to the elements, uncorrected in eV per atom: -2.62
Energy in eV/atom: -6.061
Total moment in μB per atom: 0.0910
ρ in g/cm3: 3.384

The structure in POSCAR format:
```
PaB2F8
1.0
-1.6416 -4.8692 0.3565
5.9713 -1.5793 0.9247
0.1194 0.7795 6.1955
Pa B F
1 2 8
direct
0.0000 0.0000 0.0000
0.7650 0.7293 0.7293
0.2350 0.2707 0.2707
0.2368 0.1008 0.7471
0.7632 0.2529 0.8992
0.5147 0.6882 0.6882
0.4853 0.3118 0.3118
0.2368 0.7471 0.1008
0.7632 0.8992 0.2529
0.9458 0.6366 0.6366
0.0542 0.3634 0.3634
```

Number 3 is which compound? SiB2PF